LaIn2W: relaxed, PBE-GGA.

Summary:
Relative energy among the computed polymorphs in eV per atom: 0.049
Electronic total energy in eV per cell: -44.24
M_tot in μB per cell: 0.0

The structure in CIF format:
```
data_LaIn2W
_symmetry_space_group_name_H-M 'I 4/m m m'
_symmetry_Int_Tables_number 139
_symmetry_space_group_name_Hall '-I 4 2'
_cell_length_a 4.631
_cell_length_b 4.631
_cell_length_c 8.714
_cell_angle_alpha 90.00
_cell_angle_beta 90.00
_cell_angle_gamma 90.00
loop_
_atom_site_label
_atom_site_fract_x
_atom_site_fract_y
_atom_site_fract_z
La1 0.000 0.000 0.000
In1 0.000 0.500 0.250
W1 0.000 0.000 0.500
```